# GGA-PBE Ti6ZnO, relaxed
# - mass density (g cm⁻³) = 5.03
# - total magnetization (μB/atom) = 0.00
# - raw total energy (eV/atom) = -7.386
data_Ti6ZnO
_space_group_name_H-M_alt 'P 1'
_space_group_IT_number 1
_cell_length_a 4.683
_cell_length_b 5.426
_cell_length_c 5.275
_cell_angle_alpha 80.87
_cell_angle_beta 89.42
_cell_angle_gamma 67.04
loop_
_space_group_symop_operation_xyz
'x,y,z'
loop_
_atom_site_label
_atom_site_type_symbol
_atom_site_fract_x
_atom_site_fract_y
_atom_site_fract_z
Ti1 Ti 0.063 0.351 0.792
Ti2 Ti 0.781 0.964 0.670
Ti3 Ti 0.586 0.247 0.114
Ti4 Ti 0.219 0.036 0.330
Ti5 Ti 0.937 0.649 0.208
Ti6 Ti 0.414 0.753 0.886
Zn1 Zn 0.500 0.500 0.500
O1 O 0.000 0.000 0.000

# GGA-PBE TiZn3O4, relaxed
# - mass density (g cm⁻³) = 4.63
# - total magnetization (μB/atom) = 0.00
# - raw total energy (eV/atom) = -5.504
data_TiZn3O4
_space_group_name_H-M_alt 'P 1'
_space_group_IT_number 1
_cell_length_a 5.069
_cell_length_b 5.069
_cell_length_c 5.600
_cell_angle_alpha 116.91
_cell_angle_beta 116.91
_cell_angle_gamma 90.00
loop_
_space_group_symop_operation_xyz
'x,y,z'
loop_
_atom_site_label
_atom_site_type_symbol
_atom_site_fract_x
_atom_site_fract_y
_atom_site_fract_z
Ti1 Ti 0.000 0.000 0.000
Zn1 Zn 0.500 0.500 0.000
Zn2 Zn 0.750 0.250 0.500
Zn3 Zn 0.250 0.750 0.500
O1 O 0.336 0.336 0.270
O2 O 0.934 0.934 0.270
O3 O 0.066 0.664 0.730
O4 O 0.664 0.066 0.730

# GGA-PBE TiZnO3, relaxed
# - mass density (g cm⁻³) = 5.22
# - total magnetization (μB/atom) = 0.00
# - raw total energy (eV/atom) = -7.105
data_TiZnO3
_space_group_name_H-M_alt 'P 1'
_space_group_IT_number 1
_cell_length_a 5.163
_cell_length_b 5.243
_cell_length_c 7.585
_cell_angle_alpha 90.00
_cell_angle_beta 90.00
_cell_angle_gamma 90.00
loop_
_space_group_symop_operation_xyz
'x,y,z'
loop_
_atom_site_label
_atom_site_type_symbol
_atom_site_fract_x
_atom_site_fract_y
_atom_site_fract_z
Ti1 Ti 0.500 0.500 0.000
Ti2 Ti 0.000 0.000 0.000
Ti3 Ti 0.000 0.000 0.500
Ti4 Ti 0.500 0.500 0.500
Zn1 Zn 0.003 0.535 0.250
Zn2 Zn 0.503 0.965 0.750
Zn3 Zn 0.497 0.035 0.250
Zn4 Zn 0.997 0.465 0.750
O1 O 0.887 0.063 0.750
O2 O 0.387 0.437 0.250
O3 O 0.613 0.563 0.750
O4 O 0.113 0.937 0.250
O5 O 0.677 0.819 0.439
O6 O 0.177 0.681 0.561
O7 O 0.823 0.319 0.061
O8 O 0.323 0.181 0.939
O9 O 0.677 0.819 0.061
O10 O 0.177 0.681 0.939
O11 O 0.323 0.181 0.561
O12 O 0.823 0.319 0.439

# GGA-PBE TiZn2O4, relaxed
# - mass density (g cm⁻³) = 5.13
# - total magnetization (μB/atom) = 0.00
# - energy above the most stable polymorph in this dataset (eV per formula unit) = 0.00
data_TiZn2O4
_space_group_name_H-M_alt 'P 1'
_space_group_IT_number 1
_cell_length_a 6.075
_cell_length_b 6.075
_cell_length_c 8.513
_cell_angle_alpha 90.00
_cell_angle_beta 90.00
_cell_angle_gamma 90.00
loop_
_space_group_symop_operation_xyz
'x,y,z'
loop_
_atom_site_label
_atom_site_type_symbol
_atom_site_fract_x
_atom_site_fract_y
_atom_site_fract_z
Ti1 Ti 0.500 0.239 0.000
Ti2 Ti 0.761 0.500 0.250
Ti3 Ti 0.239 0.500 0.750
Ti4 Ti 0.500 0.761 0.500
Zn1 Zn 0.253 0.253 0.375
Zn2 Zn 0.747 0.253 0.625
Zn3 Zn 0.253 0.747 0.125
Zn4 Zn 0.747 0.747 0.875
Zn5 Zn 0.000 0.245 0.000
Zn6 Zn 0.755 0.000 0.250
Zn7 Zn 0.245 0.000 0.750
Zn8 Zn 0.000 0.755 0.500
O1 O 0.974 0.734 0.249
O2 O 0.266 0.974 0.499
O3 O 0.734 0.026 0.999
O4 O 0.974 0.266 0.251
O5 O 0.026 0.734 0.751
O6 O 0.026 0.266 0.749
O7 O 0.734 0.974 0.501
O8 O 0.266 0.026 0.001
O9 O 0.514 0.266 0.232
O10 O 0.734 0.514 0.482
O11 O 0.266 0.486 0.982
O12 O 0.514 0.734 0.268
O13 O 0.486 0.266 0.768
O14 O 0.486 0.734 0.732
O15 O 0.266 0.514 0.518
O16 O 0.734 0.486 0.018

# GGA-PBE Ti3Zn2O8, relaxed
# - mass density (g cm⁻³) = 4.55
# - total magnetization (μB/atom) = 0.00
# - energy above the most stable polymorph in this dataset (eV per formula unit) = 0.58
data_Ti3Zn2O8
_space_group_name_H-M_alt 'P 1'
_space_group_IT_number 1
_cell_length_a 5.971
_cell_length_b 5.971
_cell_length_c 9.518
_cell_angle_alpha 90.00
_cell_angle_beta 90.00
_cell_angle_gamma 120.00
loop_
_space_group_symop_operation_xyz
'x,y,z'
loop_
_atom_site_label
_atom_site_type_symbol
_atom_site_fract_x
_atom_site_fract_y
_atom_site_fract_z
Ti1 Ti 0.675 0.838 0.244
Ti2 Ti 0.838 0.162 0.744
Ti3 Ti 0.162 0.325 0.244
Ti4 Ti 0.838 0.675 0.744
Ti5 Ti 0.325 0.162 0.744
Ti6 Ti 0.162 0.838 0.244
Zn1 Zn 0.667 0.333 0.029
Zn2 Zn 0.333 0.667 0.529
Zn3 Zn 0.667 0.333 0.419
Zn4 Zn 0.333 0.667 0.919
O1 O 0.838 0.162 0.145
O2 O 0.676 0.838 0.645
O3 O 0.162 0.324 0.645
O4 O 0.838 0.676 0.145
O5 O 0.324 0.162 0.145
O6 O 0.162 0.838 0.645
O7 O 0.518 0.482 0.865
O8 O 0.036 0.518 0.365
O9 O 0.482 0.964 0.365
O10 O 0.518 0.036 0.865
O11 O 0.000 0.000 0.350
O12 O 0.000 0.000 0.850
O13 O 0.333 0.667 0.133
O14 O 0.964 0.482 0.865
O15 O 0.482 0.518 0.365
O16 O 0.667 0.333 0.633

# GGA-PBE TiZnO3, relaxed
# - mass density (g cm⁻³) = 3.64
# - total magnetization (μB/atom) = 0.00
# - raw total energy (eV/atom) = -7.113
data_TiZnO3
_space_group_name_H-M_alt 'P 1'
_space_group_IT_number 1
_cell_length_a 5.542
_cell_length_b 5.549
_cell_length_c 5.837
_cell_angle_alpha 67.64
_cell_angle_beta 65.12
_cell_angle_gamma 70.26
loop_
_space_group_symop_operation_xyz
'x,y,z'
loop_
_atom_site_label
_atom_site_type_symbol
_atom_site_fract_x
_atom_site_fract_y
_atom_site_fract_z
Ti1 Ti 0.250 0.091 0.918
Ti2 Ti 0.750 0.909 0.082
Zn1 Zn 0.556 0.419 0.255
Zn2 Zn 0.444 0.581 0.745
O1 O 0.304 0.341 0.611
O2 O 0.104 0.846 0.852
O3 O 0.545 0.772 0.961
O4 O 0.696 0.659 0.389
O5 O 0.896 0.154 0.148
O6 O 0.455 0.228 0.039

# GGA-PBE Ti3Zn2O8, relaxed
# - mass density (g cm⁻³) = 4.45
# - total magnetization (μB/atom) = 0.00
# - energy above the most stable polymorph in this dataset (eV per formula unit) = 1.14
data_Ti3Zn2O8
_space_group_name_H-M_alt 'P 1'
_space_group_IT_number 1
_cell_length_a 5.920
_cell_length_b 5.920
_cell_length_c 5.920
_cell_angle_alpha 61.09
_cell_angle_beta 61.09
_cell_angle_gamma 61.09
loop_
_space_group_symop_operation_xyz
'x,y,z'
loop_
_atom_site_label
_atom_site_type_symbol
_atom_site_fract_x
_atom_site_fract_y
_atom_site_fract_z
Ti1 Ti 0.500 0.000 0.000
Ti2 Ti 0.000 0.000 0.500
Ti3 Ti 0.000 0.500 0.000
Zn1 Zn 0.615 0.615 0.615
Zn2 Zn 0.385 0.385 0.385
O1 O 0.253 0.788 0.253
O2 O 0.253 0.253 0.788
O3 O 0.788 0.253 0.253
O4 O 0.243 0.243 0.243
O5 O 0.757 0.757 0.757
O6 O 0.747 0.747 0.212
O7 O 0.212 0.747 0.747
O8 O 0.747 0.212 0.747

# GGA-PBE TiZnO3, relaxed
# - mass density (g cm⁻³) = 4.84
# - total magnetization (μB/atom) = 0.00
# - raw total energy (eV/atom) = -6.665
data_TiZnO3
_space_group_name_H-M_alt 'P 1'
_space_group_IT_number 1
_cell_length_a 3.810
_cell_length_b 3.810
_cell_length_c 3.810
_cell_angle_alpha 90.00
_cell_angle_beta 90.00
_cell_angle_gamma 90.00
loop_
_space_group_symop_operation_xyz
'x,y,z'
loop_
_atom_site_label
_atom_site_type_symbol
_atom_site_fract_x
_atom_site_fract_y
_atom_site_fract_z
Zn1 Zn 0.500 0.500 0.500
O1 O 0.000 0.500 0.000
O2 O 0.000 0.000 0.500
O3 O 0.500 0.000 0.000
Ti1 Ti 0.000 0.000 0.000

# GGA-PBE TiZnO3, relaxed
# - mass density (g cm⁻³) = 4.29
# - total magnetization (μB/atom) = 0.00
# - raw total energy (eV/atom) = -6.878
data_TiZnO3
_space_group_name_H-M_alt 'P 1'
_space_group_IT_number 1
_cell_length_a 3.972
_cell_length_b 3.972
_cell_length_c 3.972
_cell_angle_alpha 87.38
_cell_angle_beta 87.38
_cell_angle_gamma 87.38
loop_
_space_group_symop_operation_xyz
'x,y,z'
loop_
_atom_site_label
_atom_site_type_symbol
_atom_site_fract_x
_atom_site_fract_y
_atom_site_fract_z
Ti1 Ti 0.554 0.554 0.554
Zn1 Zn 0.948 0.948 0.948
O1 O 0.606 0.092 0.606
O2 O 0.092 0.606 0.606
O3 O 0.606 0.606 0.092

# GGA-PBE Ti3Zn2O8, relaxed
# - mass density (g cm⁻³) = 4.46
# - total magnetization (μB/atom) = 0.00
# - energy above the most stable polymorph in this dataset (eV per formula unit) = 0.59
data_Ti3Zn2O8
_space_group_name_H-M_alt 'P 1'
_space_group_IT_number 1
_cell_length_a 6.560
_cell_length_b 6.560
_cell_length_c 5.125
_cell_angle_alpha 60.26
_cell_angle_beta 60.26
_cell_angle_gamma 54.98
loop_
_space_group_symop_operation_xyz
'x,y,z'
loop_
_atom_site_label
_atom_site_type_symbol
_atom_site_fract_x
_atom_site_fract_y
_atom_site_fract_z
Ti1 Ti 0.000 0.000 0.500
Ti2 Ti 0.734 0.266 0.000
Ti3 Ti 0.266 0.734 0.000
Zn1 Zn 0.685 0.685 0.284
Zn2 Zn 0.315 0.315 0.716
O1 O 0.391 0.391 0.995
O2 O 0.609 0.609 0.005
O3 O 0.889 0.889 0.973
O4 O 0.111 0.111 0.027
O5 O 0.337 0.874 0.546
O6 O 0.874 0.337 0.546
O7 O 0.126 0.663 0.454
O8 O 0.663 0.126 0.454

# GGA-PBE Ti3Zn3O, relaxed
# - mass density (g cm⁻³) = 6.20
# - total magnetization (μB/atom) = 0.00
# - raw total energy (eV/atom) = -5.567
data_Ti3Zn3O
_space_group_name_H-M_alt 'P 1'
_space_group_IT_number 1
_cell_length_a 8.138
_cell_length_b 8.138
_cell_length_c 8.138
_cell_angle_alpha 60.00
_cell_angle_beta 60.00
_cell_angle_gamma 60.00
loop_
_space_group_symop_operation_xyz
'x,y,z'
loop_
_atom_site_label
_atom_site_type_symbol
_atom_site_fract_x
_atom_site_fract_y
_atom_site_fract_z
Ti1 Ti 0.070 0.430 0.070
Ti2 Ti 0.180 0.180 0.820
Ti3 Ti 0.820 0.820 0.180
Ti4 Ti 0.820 0.180 0.820
Ti5 Ti 0.820 0.180 0.180
Ti6 Ti 0.180 0.820 0.820
Ti7 Ti 0.430 0.070 0.070
Ti8 Ti 0.070 0.070 0.430
Ti9 Ti 0.430 0.430 0.070
Ti10 Ti 0.070 0.430 0.430
Ti11 Ti 0.180 0.820 0.180
Ti12 Ti 0.430 0.070 0.430
Zn1 Zn 0.835 0.835 0.835
Zn2 Zn 0.415 0.415 0.755
Zn3 Zn 0.415 0.755 0.415
Zn4 Zn 0.755 0.415 0.415
Zn5 Zn 0.835 0.495 0.835
Zn6 Zn 0.495 0.835 0.835
Zn7 Zn 0.835 0.835 0.495
Zn8 Zn 0.415 0.415 0.415
Zn9 Zn 0.625 0.625 0.625
Zn10 Zn 0.625 0.625 0.125
Zn11 Zn 0.625 0.125 0.625
Zn12 Zn 0.125 0.625 0.625
O1 O 0.125 0.125 0.125
O2 O 0.125 0.125 0.625
O3 O 0.125 0.625 0.125
O4 O 0.625 0.125 0.125

# GGA-PBE Ti3Zn2O8, relaxed
# - mass density (g cm⁻³) = 4.38
# - total magnetization (μB/atom) = 0.00
# - energy above the most stable polymorph in this dataset (eV per formula unit) = 0.00
data_Ti3Zn2O8
_space_group_name_H-M_alt 'P 1'
_space_group_IT_number 1
_cell_length_a 8.483
_cell_length_b 8.483
_cell_length_c 8.483
_cell_angle_alpha 90.00
_cell_angle_beta 90.00
_cell_angle_gamma 90.00
loop_
_space_group_symop_operation_xyz
'x,y,z'
loop_
_atom_site_label
_atom_site_type_symbol
_atom_site_fract_x
_atom_site_fract_y
_atom_site_fract_z
Ti1 Ti 0.625 0.135 0.115
Ti2 Ti 0.615 0.875 0.865
Ti3 Ti 0.635 0.385 0.375
Ti4 Ti 0.365 0.885 0.125
Ti5 Ti 0.885 0.125 0.365
Ti6 Ti 0.115 0.625 0.135
Ti7 Ti 0.385 0.375 0.635
Ti8 Ti 0.865 0.615 0.875
Ti9 Ti 0.135 0.115 0.625
Ti10 Ti 0.375 0.635 0.385
Ti11 Ti 0.875 0.865 0.615
Ti12 Ti 0.125 0.365 0.885
Zn1 Zn 0.255 0.255 0.255
Zn2 Zn 0.005 0.495 0.505
Zn3 Zn 0.495 0.505 0.005
Zn4 Zn 0.505 0.005 0.495
Zn5 Zn 0.755 0.245 0.745
Zn6 Zn 0.245 0.745 0.755
Zn7 Zn 0.745 0.755 0.245
Zn8 Zn 0.995 0.995 0.995
O1 O 0.109 0.146 0.859
O2 O 0.609 0.354 0.141
O3 O 0.146 0.859 0.109
O4 O 0.854 0.359 0.391
O5 O 0.859 0.109 0.146
O6 O 0.641 0.891 0.646
O7 O 0.359 0.609 0.604
O8 O 0.859 0.891 0.396
O9 O 0.641 0.109 0.896
O10 O 0.891 0.396 0.859
O11 O 0.896 0.641 0.109
O12 O 0.396 0.859 0.891
O13 O 0.609 0.604 0.359
O14 O 0.604 0.359 0.609
O15 O 0.109 0.896 0.641
O16 O 0.391 0.104 0.141
O17 O 0.104 0.141 0.391
O18 O 0.141 0.609 0.354
O19 O 0.359 0.391 0.854
O20 O 0.646 0.641 0.891
O21 O 0.391 0.391 0.391
O22 O 0.141 0.359 0.641
O23 O 0.641 0.141 0.359
O24 O 0.359 0.641 0.141
O25 O 0.109 0.609 0.891
O26 O 0.891 0.109 0.609
O27 O 0.609 0.891 0.109
O28 O 0.859 0.859 0.859
O29 O 0.141 0.391 0.104
O30 O 0.891 0.646 0.641
O31 O 0.391 0.854 0.359
O32 O 0.354 0.141 0.609